Compound: Li4NiRh3
Source: Alexandria via LeMat-Bulk
Functional: PBE-GGA
Structure: relaxed

Results
E_form = -1.2 eV per formula unit
Electronic total energy = -4.58 eV per atom
D(E_F) = 13.0 states/eV per cell

Unit cell a=2.707 b=4.427 c=17.479 alpha=90.00 beta=90.00 gamma=90.00
Space group Immm (No. 71)
Unique sites:
Li (0.000, 0.000, 0.116)
Li (0.000, 0.000, 0.369)
Ni (0.000, 0.500, 0.500)
Rh (0.000, 0.500, 0.000)
Rh (0.000, 0.500, 0.259)

=====

Compound: Pm2Tm5Te4
Source: Alexandria via LeMat-Bulk
Functional: PBE-GGA
Structure: relaxed

Results
Raw formation energy = -7.29 eV per formula unit
Electronic total energy = -4.70 eV per atom
D(E_F) = 16.6 states/eV per cell

Unit cell a=24.118 b=3.947 c=7.378 alpha=90.00 beta=100.66 gamma=90.00
Space group C2/m (No. 12)
Unique sites:
Pm (0.222, 0.000, 0.296)
Tm (0.000, 0.500, 0.500)
Tm (0.078, 0.000, 0.207)
Tm (0.170, 0.000, 0.825)
Te (0.044, 0.000, 0.800)
Te (0.143, 0.500, 0.489)

=====

Compound: EuScInAu
Source: Alexandria via LeMat-Bulk
Functional: PBE-GGA
Structure: relaxed

Results
E_form = -2.0 eV per formula unit
Electronic total energy = -6.15 eV per atom
D(E_F) = 37.1 states/eV per cell

Unit cell a=7.331 b=7.331 c=7.331 alpha=90.00 beta=90.00 gamma=90.00
Space group F-43m (No. 216)
Unique sites:
Eu (0.000, 0.000, 0.000)
Sc (0.000, 0.000, 0.500)
In (0.250, 0.250, 0.250)
Au (0.250, 0.250, 0.750)

=====

Compound: RbBi2Se3
Source: Alexandria via LeMat-Bulk
Functional: PBE-GGA
Structure: relaxed

Results
Raw formation energy = -2.47 eV per formula unit
Electronic total energy = -3.61 eV per atom
D(E_F) = 0.1 states/eV per cell

Unit cell a=11.951 b=11.081 c=7.123 alpha=90.00 beta=90.00 gamma=90.00
Space group Cmcm (No. 63)
Unique sites:
Rb (0.000, 0.153, 0.250)
Bi (0.184, 0.500, 0.000)
Se (0.000, 0.412, 0.750)
Se (0.188, 0.139, 0.750)

=====

Compound: TlZn2CrBr
Source: Alexandria via LeMat-Bulk
Functional: PBE-GGA
Structure: relaxed

Results
Raw formation energy = 3.04 eV per formula unit
Electronic total energy = -2.63 eV per atom
D(E_F) = 4.1 states/eV per cell

Unit cell a=5.110 b=5.110 c=5.522 alpha=90.00 beta=90.00 gamma=90.00
Space group P4/mmm (No. 123)
Unique sites:
Tl (0.000, 0.000, 0.000)
Zn (0.000, 0.500, 0.000)
Cr (0.000, 0.000, 0.500)
Br (0.500, 0.500, 0.500)

=====

Compound: Nd4Ho3Rh4
Source: Alexandria via LeMat-Bulk
Functional: PBE-GGA
Structure: relaxed

Results
E_form = -5.7 eV per formula unit
Electronic total energy = -6.17 eV per atom
D(E_F) = 16.2 states/eV per cell

Unit cell a=3.668 b=9.000 c=16.562 alpha=90.00 beta=90.00 gamma=90.00
Space group Immm (No. 71)
Unique sites:
Nd (0.000, 0.186, 0.163)
Ho (0.000, 0.000, 0.402)
Ho (0.000, 0.500, 0.500)
Rh (0.000, 0.282, 0.000)
Rh (0.000, 0.500, 0.235)

=====

Compound: Cs2KPPd
Source: Alexandria via LeMat-Bulk
Functional: PBE-GGA
Structure: relaxed

Results
E_form = -0.5 eV per formula unit
Electronic total energy = -2.78 eV per atom
D(E_F) = 3.1 states/eV per cell

Unit cell a=7.186 b=7.186 c=4.533 alpha=90.00 beta=90.00 gamma=90.00
Space group P4/mmm (No. 123)
Unique sites:
Cs (0.000, 0.500, 0.000)
K (0.000, 0.000, 0.500)
P (0.500, 0.500, 0.500)
Pd (0.500, 0.500, 0.000)

=====

Compound: Ba2HfBeFe
Source: Alexandria via LeMat-Bulk
Functional: PBE-GGA
Structure: relaxed

Results
E_form = 6.4 eV per formula unit
Electronic total energy = -3.92 eV per atom
D(E_F) = 4.9 states/eV per cell

Unit cell a=6.505 b=6.505 c=4.359 alpha=90.00 beta=90.00 gamma=90.00
Space group P4/mmm (No. 123)
Unique sites:
Ba (0.000, 0.500, 0.000)
Hf (0.000, 0.000, 0.000)
Be (0.500, 0.500, 0.500)
Fe (0.000, 0.000, 0.500)

=====

Compound: PdPt2Au2
Source: Alexandria via LeMat-Bulk
Functional: PBE-GGA
Structure: relaxed

Results
E_form = 3.2 eV per formula unit
Electronic total energy = -4.12 eV per atom
D(E_F) = 9.4 states/eV per cell

Unit cell a=5.001 b=5.001 c=8.052 alpha=90.00 beta=90.00 gamma=90.00
Space group I4/mmm (No. 139)
Unique sites:
Pd (0.000, 0.000, 0.000)
Pt (0.000, 0.500, 0.250)
Au (0.000, 0.000, 0.339)

=====

Compound: CaRhBr2
Source: Alexandria via LeMat-Bulk
Functional: PBE-GGA
Structure: relaxed

Results
Raw formation energy = -2.20 eV per formula unit
Electronic total energy = -3.72 eV per atom
D(E_F) = 3.4 states/eV per cell

Unit cell a=3.815 b=4.122 c=5.865 alpha=90.00 beta=90.00 gamma=90.00
Space group Pmmm (No. 47)
Unique sites:
Ca (0.000, 0.000, 0.000)
Rh (0.500, 0.000, 0.500)
Br (0.000, 0.500, 0.500)
Br (0.500, 0.500, 0.000)

=====

Compound: Nd4AgBi2
Source: Alexandria via LeMat-Bulk
Functional: PBE-GGA
Structure: relaxed

Results
E_form = -2.8 eV per formula unit
Electronic total energy = -4.65 eV per atom
D(E_F) = 15.2 states/eV per cell

Unit cell a=16.241 b=4.413 c=7.731 alpha=90.00 beta=117.84 gamma=90.00
Space group C2/m (No. 12)
Unique sites:
Nd (0.114, 0.000, 0.263)
Nd (0.115, 0.500, 0.809)
Ag (0.000, 0.000, 0.500)
Bi (0.242, 0.000, 0.734)

=====

Compound: YEr2Ag
Source: Alexandria via LeMat-Bulk
Functional: PBE-GGA
Structure: relaxed

Results
E_form = 0.8 eV per formula unit
Electronic total energy = -4.40 eV per atom
D(E_F) = 17.2 states/eV per cell

Unit cell a=3.4007 b=3.4007 c=34.5311 alpha=90.00 beta=90.00 gamma=120.00
Space group R-3m (No. 166, hexagonal axes)
Unique sites:
Y (0.0000, 0.0000, 0.0000)
Er (0.0000, 0.0000, 0.0974)
Ag (0.0000, 0.0000, 0.5000)